one) Computed, not measured: a PBEsol-optimized structure of MoOs2Pt at the SCAN level of DFT.

Computed properties:
Total magnetic moment   1.22 Bohr magnetons per cell

a b c (Å): 3.304 3.304 5.464
angles (deg): 90.00 90.00 90.00
Space group P4mm (No. 99)
Symmetry-distinct sites (fractional):
Mo  0.000  0.000  0.000 [1 per cell]
Os  0.000  0.000  0.475 [1 per cell]
Os  0.500  0.500  0.250 [1 per cell]
Pt  0.500  0.500  0.739 [1 per cell]


two) Computed, not measured: a PBEsol-optimized structure of MoOs2Pt at the SCAN level of DFT.

Computed properties:
Total magnetic moment   0.00 Bohr magnetons per cell

a b c (Å): 2.711 3.900 5.477
angles (deg): 90.00 90.00 90.00
Space group Pmmm (No. 47)
Symmetry-distinct sites (fractional):
Mo  0.000  0.000  0.000 [1 per cell]
Os  0.500  0.500  0.245 [2 per cell]
Pt  0.000  0.000  0.500 [1 per cell]


Consider the structures shown above. The least stable of them is one).